Run one
This record from the Alexandria database describes BaCd2Re after structural relaxation. The functional is PBE-GGA.

Lattice parameters (Å, degrees): 3.0621 4.2419 7.4583 90.00 90.00 90.00
Sites, in units of the cell vectors:
1 Ba 0.0000 0.0000 0.0000
2 Cd 0.5000 0.5000 0.3131
3 Cd 0.5000 0.5000 0.6869
4 Re 0.0000 0.0000 0.5000

Results
- Space group: Pmmm
- DOS(E_F): 0.928 states/eV/atom
- Mass density: 9.40 g cm⁻³

---

Run two
This record from the Alexandria database describes BaCd2Re after structural relaxation. The functional is PBE-GGA.

Lattice parameters (Å, degrees): 5.0696 5.0696 7.1634 96.47 96.47 34.91
Sites, in units of the cell vectors:
1 Ba 0.0000 0.0000 0.0000
2 Cd 0.2415 0.2415 0.6512
3 Cd 0.4932 0.4932 0.4383
4 Re 0.7524 0.7524 0.3096

Results
- Space group: Cm
- DOS(E_F): 0.900 states/eV/atom
- Mass density: 8.70 g cm⁻³

---

Run three
This record from the Alexandria database describes BaCd2Re after structural relaxation. The functional is PBE-GGA.

Lattice parameters (Å, degrees): 6.6768 6.6768 6.6768 153.08 129.59 58.07
Sites, in units of the cell vectors:
1 Ba 0.0000 0.0000 0.0000
2 Cd 0.2968 0.7968 0.5000
3 Cd 0.7032 0.2032 0.5000
4 Re 0.5000 0.5000 0.0000

Results
- Space group: Immm
- DOS(E_F): 0.930 states/eV/atom
- Mass density: 8.82 g cm⁻³

---

Relative energy of each structure, in meV per atom: run one 0; run two 109; run three 88.

---

Run one
This record from the Alexandria database describes BaCd2Re after structural relaxation. The functional is PBE-GGA.

Lattice parameters (Å, degrees): 5.2872 5.2872 5.2872 60.00 60.00 60.00
Sites, in units of the cell vectors:
1 Ba 0.0000 0.0000 0.0000
2 Cd 0.5000 0.5000 0.5000
3 Cd 0.7500 0.7500 0.7500
4 Re 0.2500 0.2500 0.2500

Results
- Space group: F-43m
- DOS(E_F): 1.465 states/eV/atom
- Mass density: 8.71 g cm⁻³

---

Run two
This record from the Alexandria database describes BaCd2Re after structural relaxation. The functional is PBE-GGA.

Lattice parameters (Å, degrees): 5.6630 5.6630 5.6630 131.10 131.10 71.65
Sites, in units of the cell vectors:
1 Ba 0.0000 0.0000 0.0000
2 Cd 0.2500 0.7500 0.5000
3 Cd 0.5000 0.5000 0.0000
4 Re 0.7500 0.2500 0.5000

Results
- Space group: I-4m2
- DOS(E_F): 0.659 states/eV/atom
- Mass density: 9.02 g cm⁻³

---

Relative energy of each structure, in meV per atom: run one 39; run two 0.